1.
## K4Rb2ZnSn2 (PBE)

Data for an optimized crystal structure of K4Rb2ZnSn2.

## Properties
symmetry = C2/m
formation energy = -0.076 eV per atom
total DFT energy (no corrections) = -1.810 eV/atom

Lattice parameters (Å, degrees): 8.461 8.461 6.576 99.84 99.84 60.93
Element x y z (fractional)
K 0.097 0.652 0.788
K 0.348 0.903 0.212
K 0.652 0.097 0.788
K 0.903 0.348 0.212
Rb 0.355 0.355 0.276
Rb 0.645 0.645 0.724
Zn 0.000 0.000 0.500
Sn 0.168 0.168 0.737
Sn 0.832 0.832 0.263

2.
## Pm2B10Pt (PBE)

Data for an optimized crystal structure of Pm2B10Pt.

## Properties
symmetry = Pbam
formation energy = -0.541 eV per atom
total DFT energy (no corrections) = -6.873 eV/atom

Lattice parameters (Å, degrees): 5.740 11.470 4.212 90.00 90.00 90.00
Element x y z (fractional)
Pm 0.192 0.140 0.000
Pm 0.308 0.640 0.000
Pm 0.692 0.360 0.000
Pm 0.808 0.860 0.000
B 0.054 0.306 0.500
B 0.117 0.956 0.500
B 0.139 0.803 0.500
B 0.218 0.380 0.198
B 0.218 0.380 0.802
B 0.282 0.880 0.198
B 0.282 0.880 0.802
B 0.361 0.303 0.500
B 0.383 0.456 0.500
B 0.446 0.806 0.500
B 0.554 0.194 0.500
B 0.617 0.544 0.500
B 0.639 0.697 0.500
B 0.718 0.120 0.198
B 0.718 0.120 0.802
B 0.782 0.620 0.198
B 0.782 0.620 0.802
B 0.861 0.197 0.500
B 0.883 0.044 0.500
B 0.946 0.694 0.500
Pt 0.000 0.500 0.500
Pt 0.500 0.000 0.500

3.
## YPuIr (PBE)

Data for an optimized crystal structure of YPuIr.

## Properties
symmetry = P-62m
formation energy = -0.556 eV per atom
ΔE to the lowest computed polymorph = 0 meV/atom
total DFT energy (no corrections) = -10.442 eV/atom

Lattice parameters (Å, degrees): 7.199 7.199 4.726 90.00 90.00 120.00
Element x y z (fractional)
Y 0.000 0.419 0.000
Y 0.419 0.000 0.000
Y 0.581 0.581 0.000
Pu 0.000 0.750 0.500
Pu 0.250 0.250 0.500
Pu 0.750 0.000 0.500
Ir 0.000 0.000 0.000
Ir 0.333 0.667 0.500
Ir 0.667 0.333 0.500

4.
## BaLiCo (PBE)

Data for an optimized crystal structure of BaLiCo.

## Properties
symmetry = P2_1/m
formation energy = 0.242 eV per atom
ΔE to the lowest computed polymorph = 24 meV/atom
total DFT energy (no corrections) = -3.406 eV/atom

Lattice parameters (Å, degrees): 5.937 4.032 7.157 90.00 93.85 90.00
Element x y z (fractional)
Ba 0.102 0.250 0.273
Ba 0.898 0.750 0.727
Li 0.422 0.250 0.800
Li 0.578 0.750 0.200
Co 0.429 0.750 0.530
Co 0.571 0.250 0.470

Number 1: mass density 2.6 Mg/m³. Number 2: mass density 7.1 Mg/m³. Number 3: mass density 12.3 Mg/m³. Number 4: mass density 3.9 Mg/m³.